# 1
## RbNaCu (PBE-GGA)

Data for an optimized crystal structure of RbNaCu.

Lattice parameters (Å, degrees): 8.2158 8.2158 6.9204 94.95 94.95 30.39
Positions (direct):
Rb: 0.1394 0.1394 0.3536
Rb: 0.8606 0.8606 0.6464
Na: 0.4011 0.4011 0.1473
Na: 0.5989 0.5989 0.8527
Cu: 0.2334 0.2334 0.9287
Cu: 0.7666 0.7666 0.0713

- space group = C2/m (12)
- energy of formation from the pure elements (eV/atom) = 0.21
- Fermi-level density of states (states/eV/f.u.) = 1.19
- total moment (μB per cell) = 0.00
- energy relative to the lowest polymorph listed for this composition (meV per atom) = 5

# 2
## RbNaCu (PBE-GGA)

Data for an optimized crystal structure of RbNaCu.

Lattice parameters (Å, degrees): 6.9070 6.9070 8.6417 125.31 125.31 42.34
Positions (direct):
Rb: 0.0799 0.0799 0.3292
Rb: 0.9201 0.9201 0.6708
Na: 0.2862 0.2862 0.9071
Na: 0.7138 0.7138 0.0929
Cu: 0.3893 0.3893 0.3431
Cu: 0.6107 0.6107 0.6569

- space group = C2/m (12)
- energy of formation from the pure elements (eV/atom) = 0.25
- Fermi-level density of states (states/eV/f.u.) = 1.17
- total moment (μB per cell) = 0.00
- energy relative to the lowest polymorph listed for this composition (meV per atom) = 46

# 3
## RbNa2Cu2 (PBE-GGA)

Data for an optimized crystal structure of RbNa2Cu2.

Lattice parameters (Å, degrees): 7.1650 7.1650 7.1650 140.53 140.53 57.05
Positions (direct):
Rb: 0.0000 0.0000 0.0000
Na: 0.2500 0.7500 0.5000
Na: 0.7500 0.2500 0.5000
Cu: 0.4044 0.4044 0.0000
Cu: 0.5956 0.5956 0.0000

- space group = I4/mmm (139)
- energy of formation from the pure elements (eV/atom) = 0.29
- Fermi-level density of states (states/eV/f.u.) = 2.43
- total moment (μB per cell) = 0.00
- energy relative to the lowest polymorph listed for this composition (meV per atom) = 0

# 4
## RbNaCu2 (PBE-GGA)

Data for an optimized crystal structure of RbNaCu2.

Lattice parameters (Å, degrees): 10.5812 10.5812 10.5812 152.84 152.84 38.79
Positions (direct):
Rb: 0.3750 0.6250 0.7500
Rb: 0.6250 0.3750 0.2500
Na: 0.1250 0.8750 0.2500
Na: 0.8750 0.1250 0.7500
Cu: 0.0000 0.0000 0.0000
Cu: 0.0000 0.0000 0.5000
Cu: 0.0000 0.5000 0.0000
Cu: 0.5000 0.0000 0.5000

- space group = I4_1/amd (141)
- energy of formation from the pure elements (eV/atom) = 0.45
- Fermi-level density of states (states/eV/f.u.) = 2.22
- total moment (μB per cell) = 0.00
- energy relative to the lowest polymorph listed for this composition (meV per atom) = 0

# 5
## RbNa2Cu (PBE-GGA)

Data for an optimized crystal structure of RbNa2Cu.

Lattice parameters (Å, degrees): 5.7256 5.7256 5.7256 60.00 60.00 60.00
Positions (direct):
Rb: 0.0000 0.0000 0.0000
Na: 0.2500 0.2500 0.2500
Na: 0.7500 0.7500 0.7500
Cu: 0.5000 0.5000 0.5000

- space group = Fm-3m (225)
- energy of formation from the pure elements (eV/atom) = 0.34
- Fermi-level density of states (states/eV/f.u.) = 1.76
- total moment (μB per cell) = 0.00
- energy relative to the lowest polymorph listed for this composition (meV per atom) = 0

# 6
## RbNaCu (PBE-GGA)

Data for an optimized crystal structure of RbNaCu.

Lattice parameters (Å, degrees): 7.0601 7.0601 8.2255 105.63 105.63 35.85
Positions (direct):
Rb: 0.0000 0.0000 0.0000
Rb: 0.5000 0.5000 0.5000
Na: 0.2475 0.2475 0.8026
Na: 0.7525 0.7525 0.1974
Cu: 0.2248 0.2248 0.4397
Cu: 0.7752 0.7752 0.5603

- space group = C2/m (12)
- energy of formation from the pure elements (eV/atom) = 0.23
- Fermi-level density of states (states/eV/f.u.) = 1.10
- total moment (μB per cell) = 0.00
- energy relative to the lowest polymorph listed for this composition (meV per atom) = 22

# 7
## RbNaCu (PBE-GGA)

Data for an optimized crystal structure of RbNaCu.

Lattice parameters (Å, degrees): 5.3434 6.2005 6.9769 75.69 84.61 83.52
Positions (direct):
Rb: 0.2377 0.2156 0.0847
Rb: 0.7623 0.7844 0.9153
Na: 0.2269 0.6632 0.4881
Na: 0.7731 0.3368 0.5119
Cu: 0.3192 0.0888 0.5835
Cu: 0.6808 0.9112 0.4165

- space group = P-1 (2)
- energy of formation from the pure elements (eV/atom) = 0.27
- Fermi-level density of states (states/eV/f.u.) = 1.50
- total moment (μB per cell) = 0.00
- energy relative to the lowest polymorph listed for this composition (meV per atom) = 62

# 8
## RbNa2Cu2 (PBE-GGA)

Data for an optimized crystal structure of RbNa2Cu2.

Lattice parameters (Å, degrees): 8.9992 8.9992 3.2955 90.00 90.00 90.00
Positions (direct):
Rb: 0.0000 0.0000 0.0000
Rb: 0.5000 0.5000 0.0000
Na: 0.1230 0.3770 0.0000
Na: 0.3770 0.8770 0.0000
Na: 0.6230 0.1230 0.0000
Na: 0.8770 0.6230 0.0000
Cu: 0.1704 0.6704 0.5000
Cu: 0.3296 0.1704 0.5000
Cu: 0.6704 0.8296 0.5000
Cu: 0.8296 0.3296 0.5000

- space group = P4/mbm (127)
- energy of formation from the pure elements (eV/atom) = 0.37
- Fermi-level density of states (states/eV/f.u.) = 1.76
- total moment (μB per cell) = 0.00
- energy relative to the lowest polymorph listed for this composition (meV per atom) = 73